The following is a DFT calculation (PBE) of a geometry-optimized CeY2MgS6 structure.

Calculated values
* E_tot: -6.319 eV per atom
* space-group type: No. 146
* volume: 24.756 A^3/atom

a b c (Å): 6.8522 6.8520 7.2613
angles (deg): 61.84 61.84 60.00
Closest atoms and distances in Å follow each position.
Sites, in units of the cell vectors:
Ce1 0.8175 0.8175 0.5476  6 S 2.70-2.76
Y1 0.5182 0.5182 0.4454  6 S 2.73-2.78
Y2 0.0191 0.0192 0.9426  6 S 2.71-2.81
Mg1 0.3163 0.3163 0.0510  6 S 2.62-2.70
S1 0.6044 0.2141 0.2509  1 Mg 2.62, 2 Y 2.73-2.81, 1 Ce 2.76
S2 0.2140 0.9306 0.2509  1 Mg 2.62, 2 Y 2.73-2.81, 1 Ce 2.76
S3 0.9307 0.6044 0.2510  1 Mg 2.62, 2 Y 2.73-2.81, 1 Ce 2.76
S4 0.4228 0.7051 0.7585  1 Mg 2.70, 1 Ce 2.70, 2 Y 2.71-2.78
S5 0.7051 0.1135 0.7586  1 Mg 2.70, 1 Ce 2.70, 2 Y 2.71-2.78
S6 0.1135 0.4228 0.7586  1 Mg 2.70, 1 Ce 2.70, 2 Y 2.71-2.78

---

The following is a DFT calculation (PBE) of a geometry-optimized FeP3Pb structure.

Calculated values
* energy of formation: 0.4521 eV/atom
* space-group type: No. 221
* volume: 18.381 A^3/atom

a b c (Å): 4.5128 4.5128 4.5128
angles (deg): 90.00 90.00 90.00
Closest atoms and distances in Å follow each position.
Sites, in units of the cell vectors:
Pb1 0.5000 0.5000 0.5000  12 P 3.19
P1 0.0000 0.5000 0.0000  2 Fe 2.26
P2 0.0000 0.0000 0.5000  2 Fe 2.26
P3 0.5000 0.0000 0.0000  2 Fe 2.26
Fe1 0.0000 0.0000 0.0000  6 P 2.26

---

The following is a DFT calculation (PBE) of a geometry-optimized Pu2ThP4 structure.

Calculated values
* energy of formation: -0.9878 eV/atom
* space-group type: No. 63
* volume: 23.090 A^3/atom

a b c (Å): 4.1695 7.1031 11.4176
angles (deg): 90.00 90.00 107.07
Closest atoms and distances in Å follow each position.
Sites, in units of the cell vectors:
Pu1 0.1327 0.2654 0.4444  4 P 2.60-2.83
Pu2 0.8673 0.7346 0.9444  4 P 2.60-2.83
Pu3 0.1327 0.2654 0.0556  4 P 2.60-2.83
Pu4 0.8673 0.7346 0.5556  4 P 2.60-2.83
Th1 0.6012 0.2024 0.7500  6 P 2.76-3.03
Th2 0.3988 0.7976 0.2500  6 P 2.76-3.03
P1 0.7599 0.5199 0.1513  1 P 2.25
P2 0.7599 0.5199 0.3487  1 P 2.25
P3 0.2401 0.4801 0.8487  1 P 2.25
P4 0.2401 0.4801 0.6513  1 P 2.25
P5 0.9677 0.9354 0.7500  2 Pu 2.60, 2 Th 2.76
P6 0.0323 0.0646 0.2500  2 Pu 2.60, 2 Th 2.76
P7 0.5000 0.0000 0.0000  4 Pu 2.83
P8 0.5000 0.0000 0.5000  4 Pu 2.83

---

The following is a DFT calculation (PBE) of a geometry-optimized Pm4ThAu5 structure.

Calculated values
* energy of formation: -0.7383 eV/atom
* space-group type: No. 123
* volume: 25.209 A^3/atom

a b c (Å): 3.6709 3.6709 18.7067
angles (deg): 90.00 90.00 90.00
Closest atoms and distances in Å follow each position.
Sites, in units of the cell vectors:
Pm1 0.0000 0.0000 0.2019  8 Au 3.18-3.20
Pm2 0.0000 0.0000 0.4002  8 Au 3.18-3.20
Pm3 0.0000 0.0000 0.5998  8 Au 3.18-3.20
Pm4 0.0000 0.0000 0.7981  8 Au 3.18-3.20
Th1 0.0000 0.0000 0.0000  8 Au 3.24
Au1 0.5000 0.5000 0.1036  4 Pm 3.18, 4 Th 3.24
Au2 0.5000 0.5000 0.3016  8 Pm 3.18-3.20
Au3 0.5000 0.5000 0.5000  8 Pm 3.20
Au4 0.5000 0.5000 0.6984  8 Pm 3.18-3.20
Au5 0.5000 0.5000 0.8964  4 Pm 3.18, 4 Th 3.24

---

The following is a DFT calculation (PBE) of a geometry-optimized AgSbS structure.

Calculated values
* E_tot: -3.687 eV per atom
* space-group type: No. 1
* volume: 23.265 A^3/atom

a b c (Å): 4.9658 9.7746 6.1203
angles (deg): 127.42 143.58 58.11
Closest atoms and distances in Å follow each position.
Sites, in units of the cell vectors:
Ag1 0.3096 0.6467 0.7638  2 S 2.54-2.73, 1 Sb 2.74
Ag2 0.8110 0.1469 0.7652  2 S 2.54-2.74, 1 Sb 2.74
Sb1 0.0013 0.9337 0.0747  2 S 2.61-2.69, 1 Ag 2.74
Sb2 0.4999 0.4337 0.0737  2 S 2.61-2.69, 1 Ag 2.74
S1 0.6589 0.3728 0.5448  2 Ag 2.54-2.74, 2 Sb 2.61-2.69
S2 0.1605 0.8730 0.5462  2 Ag 2.54-2.73, 2 Sb 2.61-2.69

---

The following is a DFT calculation (PBE) of a geometry-optimized NbBr3Cl3 structure.

Calculated values
* E_tot: -3.707 eV per atom
* space-group type: No. 160
* volume: 38.090 A^3/atom

a b c (Å): 7.1938 7.1938 7.1938
angles (deg): 111.20 111.20 111.20
Closest atoms and distances in Å follow each position.
Sites, in units of the cell vectors:
Nb1 0.8646 0.8646 0.8646  3 Cl 2.34, 3 Br 2.59
Br1 0.0310 0.3144 0.0310  1 Nb 2.59
Br2 0.0310 0.0310 0.3144  1 Nb 2.59
Br3 0.3144 0.0310 0.0310  1 Nb 2.59
Cl1 0.5613 0.5613 0.8371  1 Nb 2.34
Cl2 0.8371 0.5613 0.5613  1 Nb 2.34
Cl3 0.5613 0.8371 0.5613  1 Nb 2.34

---

The following is a DFT calculation (PBE) of a geometry-optimized Sm2B10Ir structure.

Calculated values
* energy of formation: -0.5550 eV/atom
* space-group type: No. 55
* volume: 10.574 A^3/atom

a b c (Å): 4.2040 5.7295 11.4142
angles (deg): 90.00 90.00 90.00
Closest atoms and distances in Å follow each position.
Sites, in units of the cell vectors:
Sm1 0.5000 0.2948 0.8657  20 B 2.92-3.06, 2 Ir 3.10
Sm2 0.5000 0.7052 0.1343  20 B 2.92-3.06, 2 Ir 3.10
Sm3 0.5000 0.7948 0.6343  20 B 2.92-3.06, 2 Ir 3.10
Sm4 0.5000 0.2052 0.3657  20 B 2.92-3.06, 2 Ir 3.10
B1 0.0000 0.1190 0.5429  4 B 1.68-1.79
B2 0.0000 0.8810 0.4571  4 B 1.68-1.79
B3 0.0000 0.6190 0.9571  4 B 1.68-1.79
B4 0.0000 0.3810 0.0429  4 B 1.68-1.79
B5 0.0000 0.1379 0.6971  5 B 1.67-1.76
B6 0.0000 0.8621 0.3029  5 B 1.67-1.76
B7 0.3008 0.2188 0.1188  4 B 1.68-1.79
B8 0.3008 0.7812 0.8812  4 B 1.68-1.79
B9 0.6992 0.7188 0.3812  4 B 1.68-1.79
B10 0.6992 0.2812 0.6188  4 B 1.68-1.79
B11 0.6992 0.7812 0.8812  4 B 1.68-1.79
B12 0.6992 0.2188 0.1188  4 B 1.68-1.79
B13 0.3008 0.2812 0.6188  4 B 1.68-1.79
B14 0.3008 0.7188 0.3812  4 B 1.68-1.79
B15 0.0000 0.0553 0.1930  4 B 1.67-1.79
B16 0.0000 0.9447 0.8070  4 B 1.67-1.79
B17 0.0000 0.5553 0.3070  4 B 1.67-1.79
B18 0.0000 0.4447 0.6930  4 B 1.67-1.79
B19 0.0000 0.3621 0.1971  5 B 1.67-1.76
B20 0.0000 0.6379 0.8029  5 B 1.67-1.76
Ir1 0.0000 0.5000 0.5000  8 B 2.23-2.24
Ir2 0.0000 0.0000 0.0000  8 B 2.23-2.24

---

The following is a DFT calculation (PBE) of a geometry-optimized ZrBr2O structure.

Calculated values
* E_tot: -6.031 eV per atom
* space-group type: No. 122
* volume: 26.412 A^3/atom

a b c (Å): 10.2700 10.2700 7.5333
angles (deg): 47.03 47.03 90.00
Closest atoms and distances in Å follow each position.
Sites, in units of the cell vectors:
O1 0.5000 0.5000 0.0000  2 Zr 2.00
O2 0.2500 0.7500 0.5000  2 Zr 2.00
Br1 0.7864 0.1250 0.2500  2 Zr 2.77
Br2 0.9636 0.6250 0.2500  2 Zr 2.77
Br3 0.3750 0.2136 0.7500  2 Zr 2.77
Br4 0.8750 0.0364 0.7500  2 Zr 2.77
Zr1 0.0000 0.0000 0.0000  2 O 2.00
Zr2 0.7500 0.2500 0.5000  2 O 2.00

---

Table of total magnetic moment (Bohr magnetons per cell), in record order: 0.00; 1.09; 19.95; 0.00; 0.00; 0.88; 0.00; 0.00